Entry 1:
VASP calculation (GGA-PBE) on a relaxed structure of Tl3ZnCl6.

Values from the calculation:
Space group: Cmc2_1, No. 36
Magnetization, μB/f.u.: 0.71
DOS at the Fermi energy, states/eV per atom: 0.493
Final energy, eV per atom: -2.902
ΔE_f (raw), eV per atom: -0.957

Cell lengths 7.065, 9.669, 9.669 Å; angles 100.42, 90.00, 90.00 degrees
Atoms (fractional coordinates):
1 Cl 0.142 0.058 0.942
2 Cl 0.173 0.390 0.316
3 Cl 0.642 0.942 0.058
4 Cl 0.697 0.582 0.133
5 Cl 0.173 0.684 0.610
6 Cl 0.224 0.782 0.218
7 Cl 0.724 0.218 0.782
8 Cl 0.197 0.418 0.867
9 Cl 0.697 0.867 0.418
10 Cl 0.197 0.133 0.582
11 Cl 0.673 0.610 0.684
12 Cl 0.673 0.316 0.390
13 Tl 0.878 0.582 0.418
14 Tl 0.378 0.418 0.582
15 Tl 0.481 0.282 0.076
16 Tl 0.481 0.924 0.718
17 Tl 0.981 0.718 0.924
18 Tl 0.981 0.076 0.282
19 Zn 0.540 0.795 0.205
20 Zn 0.040 0.205 0.795

Entry 2:
VASP calculation (GGA-PBE) on a relaxed structure of TlZnCl3.

Values from the calculation:
Space group: C2/m, No. 12
Magnetization, μB/f.u.: 0.00
DOS at the Fermi energy, states/eV per atom: 0.000
Final energy, eV per atom: -2.916
ΔE_f (raw), eV per atom: -1.080

Cell lengths 20.231, 9.334, 9.334 Å; angles 156.26, 152.46, 27.54 degrees
Atoms (fractional coordinates):
1 Cl 0.705 0.276 0.724
2 Cl 0.328 0.883 0.117
3 Cl 0.988 0.642 0.358
4 Cl 0.672 0.117 0.883
5 Cl 0.295 0.724 0.276
6 Cl 0.012 0.358 0.642
7 Zn 0.857 0.020 0.980
8 Zn 0.143 0.980 0.020
9 Tl 0.450 0.934 0.066
10 Tl 0.550 0.066 0.934

Entry 3:
VASP calculation (GGA-PBE) on a relaxed structure of TlZnCl3.

Values from the calculation:
Space group: P1, No. 1
Magnetization, μB/f.u.: 0.00
DOS at the Fermi energy, states/eV per atom: 0.000
Final energy, eV per atom: -2.943
ΔE_f (raw), eV per atom: -1.107

Cell lengths 6.964, 6.273, 7.474 Å; angles 89.17, 80.73, 102.12 degrees
Atoms (fractional coordinates):
1 Zn 0.166 0.337 0.067
2 Zn 0.098 0.594 0.701
3 Tl 0.739 0.665 0.264
4 Tl 0.598 0.090 0.722
5 Cl 0.901 0.218 0.286
6 Cl 0.098 0.226 0.775
7 Cl 0.782 0.622 0.685
8 Cl 0.459 0.273 0.106
9 Cl 0.184 0.710 0.984
10 Cl 0.331 0.761 0.474

Entry 4:
VASP calculation (GGA-PBE) on a relaxed structure of TlZnCl3.

Values from the calculation:
Space group: P2_1/m, No. 11
Magnetization, μB/f.u.: 0.00
DOS at the Fermi energy, states/eV per atom: 0.000
Final energy, eV per atom: -2.901
ΔE_f (raw), eV per atom: -1.065

Cell lengths 6.685, 6.722, 6.719 Å; angles 90.00, 74.22, 90.00 degrees
Atoms (fractional coordinates):
1 Cl 0.755 0.494 0.131
2 Cl 0.245 0.994 0.869
3 Cl 0.851 0.750 0.624
4 Cl 0.149 0.250 0.376
5 Cl 0.245 0.506 0.869
6 Cl 0.755 0.006 0.131
7 Zn 0.959 0.750 0.917
8 Zn 0.041 0.250 0.083
9 Tl 0.302 0.750 0.318
10 Tl 0.698 0.250 0.682

Entry 5:
VASP calculation (GGA-PBE) on a relaxed structure of Tl3Zn2Cl7.

Values from the calculation:
Space group: Cmmm, No. 65
Magnetization, μB/f.u.: 0.00
DOS at the Fermi energy, states/eV per atom: 0.000
Final energy, eV per atom: -2.897
ΔE_f (raw), eV per atom: -1.016

Cell lengths 4.969, 5.066, 12.829 Å; angles 101.39, 90.00, 90.00 degrees
Atoms (fractional coordinates):
1 Cl 0.000 0.596 0.192
2 Cl 0.000 0.404 0.808
3 Cl 0.500 0.096 0.192
4 Cl 0.500 0.904 0.808
5 Cl 0.000 0.194 0.387
6 Cl 0.000 0.806 0.613
7 Cl 0.000 0.000 0.000
8 Zn 0.000 0.900 0.799
9 Zn 0.000 0.100 0.201
10 Tl 0.500 0.681 0.363
11 Tl 0.500 0.500 0.000
12 Tl 0.500 0.319 0.637

Entry 6:
VASP calculation (GGA-PBE) on a relaxed structure of TlZnCl3.

Values from the calculation:
Space group: P6_3/mmc, No. 194
Magnetization, μB/f.u.: 0.00
DOS at the Fermi energy, states/eV per atom: 0.353
Final energy, eV per atom: -2.395
ΔE_f (raw), eV per atom: -0.559

Cell lengths 4.655, 4.655, 17.183 Å; angles 90.00, 90.00, 120.00 degrees
Atoms (fractional coordinates):
1 Cl 0.333 0.667 0.556
2 Cl 0.000 0.000 0.250
3 Cl 0.667 0.333 0.056
4 Cl 0.667 0.333 0.444
5 Cl 0.333 0.667 0.944
6 Cl 0.000 0.000 0.750
7 Tl 0.333 0.667 0.750
8 Tl 0.667 0.333 0.250
9 Zn 0.000 0.000 0.500
10 Zn 0.000 0.000 0.000

Entry 7:
VASP calculation (GGA-PBE) on a relaxed structure of TlZnCl2.

Values from the calculation:
Space group: Imm2, No. 44
Magnetization, μB/f.u.: 0.00
DOS at the Fermi energy, states/eV per atom: 0.323
Final energy, eV per atom: -2.411
ΔE_f (raw), eV per atom: -0.578

Cell lengths 7.320, 7.320, 7.320 Å; angles 152.61, 144.26, 45.61 degrees
Atoms (fractional coordinates):
1 Zn 0.783 0.283 0.500
2 Cl 0.229 0.729 0.500
3 Cl 0.914 0.914 0.000
4 Tl 0.573 0.573 0.000

Entry 8:
VASP calculation (GGA-PBE) on a relaxed structure of TlZnCl3.

Values from the calculation:
Space group: Fd-3m, No. 227
Magnetization, μB/f.u.: 0.00
DOS at the Fermi energy, states/eV per atom: 0.000
Final energy, eV per atom: -2.813
ΔE_f (raw), eV per atom: -0.977

Cell lengths 9.236, 9.236, 9.236 Å; angles 60.00, 60.00, 60.00 degrees
Atoms (fractional coordinates):
1 Tl 0.125 0.625 0.625
2 Tl 0.625 0.625 0.125
3 Tl 0.625 0.125 0.625
4 Tl 0.625 0.625 0.625
5 Cl 0.802 0.802 0.198
6 Cl 0.802 0.198 0.802
7 Cl 0.198 0.802 0.198
8 Cl 0.448 0.052 0.052
9 Cl 0.448 0.052 0.448
10 Cl 0.052 0.448 0.448
11 Cl 0.198 0.198 0.802
12 Cl 0.448 0.448 0.052
13 Cl 0.198 0.802 0.802
14 Cl 0.052 0.052 0.448
15 Cl 0.802 0.198 0.198
16 Cl 0.052 0.448 0.052
17 Zn 0.625 0.125 0.125
18 Zn 0.125 0.625 0.125
19 Zn 0.125 0.125 0.125
20 Zn 0.125 0.125 0.625

Entry 9:
VASP calculation (GGA-PBE) on a relaxed structure of TlZnCl3.

Values from the calculation:
Space group: I-4m2, No. 119
Magnetization, μB/f.u.: 0.00
DOS at the Fermi energy, states/eV per atom: 0.344
Final energy, eV per atom: -2.525
ΔE_f (raw), eV per atom: -0.689

Cell lengths 5.773, 5.773, 10.244 Å; angles 73.63, 73.63, 90.00 degrees
Atoms (fractional coordinates):
1 Zn 0.000 0.000 0.000
2 Zn 0.250 0.750 0.500
3 Cl 0.268 0.268 0.465
4 Cl 0.089 0.349 0.821
5 Cl 0.651 0.911 0.179
6 Cl 0.170 0.911 0.179
7 Cl 0.732 0.732 0.535
8 Cl 0.089 0.830 0.821
9 Tl 0.644 0.144 0.713
10 Tl 0.856 0.356 0.287

Entry 10:
VASP calculation (GGA-PBE) on a relaxed structure of TlZnCl3.

Values from the calculation:
Space group: R3c, No. 161
Magnetization, μB/f.u.: 0.00
DOS at the Fermi energy, states/eV per atom: 0.000
Final energy, eV per atom: -2.849
ΔE_f (raw), eV per atom: -1.013

Cell lengths 7.005, 7.005, 7.005 Å; angles 60.38, 60.38, 60.38 degrees
Atoms (fractional coordinates):
1 Tl 0.246 0.246 0.246
2 Tl 0.746 0.746 0.746
3 Cl 0.213 0.280 0.746
4 Cl 0.246 0.780 0.713
5 Cl 0.746 0.213 0.280
6 Cl 0.280 0.746 0.213
7 Cl 0.713 0.246 0.780
8 Cl 0.780 0.713 0.246
9 Zn 0.997 0.997 0.997
10 Zn 0.497 0.497 0.497

Entry 11:
VASP calculation (GGA-PBE) on a relaxed structure of TlZn3Cl.

Values from the calculation:
Space group: Pm-3m, No. 221
Magnetization, μB/f.u.: 0.00
DOS at the Fermi energy, states/eV per atom: 0.077
Final energy, eV per atom: -1.419
ΔE_f (raw), eV per atom: 0.188

Cell lengths 5.185, 5.185, 5.185 Å; angles 90.00, 90.00, 90.00 degrees
Atoms (fractional coordinates):
1 Cl 0.500 0.500 0.500
2 Zn 0.000 0.000 0.500
3 Zn 0.500 0.000 0.000
4 Zn 0.000 0.500 0.000
5 Tl 0.000 0.000 0.000

Entry 12:
VASP calculation (GGA-PBE) on a relaxed structure of Tl3ZnCl.

Values from the calculation:
Space group: Pm-3m, No. 221
Magnetization, μB/f.u.: 0.00
DOS at the Fermi energy, states/eV per atom: 0.501
Final energy, eV per atom: -2.145
ΔE_f (raw), eV per atom: -0.101

Cell lengths 5.447, 5.447, 5.447 Å; angles 90.00, 90.00, 90.00 degrees
Atoms (fractional coordinates):
1 Tl 0.000 0.000 0.500
2 Tl 0.000 0.500 0.000
3 Tl 0.500 0.000 0.000
4 Zn 0.000 0.000 0.000
5 Cl 0.500 0.500 0.500